The following is a PBE-GGA calculation of Er2MgZn after structural relaxation, from the Alexandria database.

Cell lengths 3.540, 3.540, 7.834 Å; angles 90.00, 90.00, 90.00 degrees
Space group P4/mmm (No. 123)
Symmetry-distinct sites (fractional):
Er  0.000  0.000  0.222 x2
Mg  0.500  0.500  0.500 x1
Zn  0.500  0.500  0.000 x1

Size of the total moment (μB/f.u.): 0.00
Energy relative to the lowest polymorph listed for this composition (kJ/mol of atoms): 0.0
Energy of formation (eV per atom): -0.207



The following is a PBE-GGA calculation of Er2Mg3Zn3 after structural relaxation, from the Alexandria database.

Cell lengths 4.8789, 4.8789, 23.9568 Å; angles 90.00, 90.00, 120.00 degrees
Space group R3m (No. 160, hexagonal axes)
Symmetry-distinct sites (fractional):
Er  0.0000  0.0000  0.0000 x3
Er  0.0000  0.0000  0.4873 x3
Mg  0.0000  0.0000  0.2398 x3
Mg  0.0000  0.0000  0.6164 x3
Mg  0.0000  0.0000  0.7456 x3
Zn  0.0000  0.0000  0.1203 x3
Zn  0.0000  0.0000  0.3632 x3
Zn  0.0000  0.0000  0.8733 x3

Size of the total moment (μB/f.u.): 0.00
Energy of formation (eV per atom): -0.253



The following is a PBE-GGA calculation of Er5MgZn6 after structural relaxation, from the Alexandria database.

Cell lengths 4.912, 7.041, 14.889 Å; angles 90.00, 90.00, 90.00 degrees
Space group Immm (No. 71)
Symmetry-distinct sites (fractional):
Er  0.000  0.000  0.000 x2
Er  0.000  0.000  0.337 x4
Er  0.000  0.500  0.330 x4
Mg  0.000  0.500  0.000 x2
Zn  0.000  0.242  0.500 x4
Zn  0.000  0.256  0.163 x8

Size of the total moment (μB/f.u.): 0.00
Energy of formation (eV per atom): -0.325



The following is a PBE-GGA calculation of Er6Mg2Zn after structural relaxation, from the Alexandria database.

Cell lengths 6.275, 9.254, 9.862 Å; angles 90.00, 117.81, 90.00 degrees
Space group P2_1/c (No. 14)
Symmetry-distinct sites (fractional):
Er  0.069  0.172  0.469 x4
Er  0.359  0.687  0.446 x4
Er  0.429  0.035  0.302 x4
Mg  0.117  0.095  0.773 x4
Zn  0.000  0.000  0.000 x2

Size of the total moment (μB/f.u.): 0.00
Energy of formation (eV per atom): 0.049